# NaCu4S4

NaCu4S4 after structural relaxation (GGA-PBEsol, Alexandria).

a b c (Å): 3.7554 3.7554 11.9779
angles (deg): 90.00 90.00 120.00
Sites, in units of the cell vectors:
1 S 0.3333 0.6667 0.3407
2 S 0.0000 0.0000 0.0878
3 S 0.0000 0.0000 0.9122
4 Cu 0.3333 0.6667 0.6913
5 Cu 0.3333 0.6667 0.1485
6 Cu 0.6667 0.3333 0.8514
7 Na 0.0000 0.0000 0.5000
8 Cu 0.6667 0.3333 0.3087
9 S 0.6667 0.3333 0.6593

Computed properties:
Symmetry: P-3m1 (164)
Uncorrected formation energy, eV per atom: -0.4017
Fermi-level density of states, states/eV per atom: 0.260
Uncorrected energy, eV/atom: -4.4320
Mass density, g/cm3: 4.60
Crystal system: trigonal